[1]
# PBE Ti2Al4Cu, optimized geometry
# Total magnetization   0.00 μB/f.u.
# Energy above the lowest structure with this stoichiometry   0.000 eV/atom
# Calculated formation energy   -0.26 eV/atom
# ρ   3.8 g/cm3
data_Ti2Al4Cu
_chemical_formula_sum 'Ti2 Al4 Cu1'
_symmetry_space_group_name_H-M 'P 1'
_symmetry_Int_Tables_number 1
_symmetry_space_group_name_Hall 'P 1'
_cell_length_a 5.335
_cell_length_b 5.335
_cell_length_c 4.240
_cell_angle_alpha 90.00
_cell_angle_beta 90.00
_cell_angle_gamma 104.71
loop_
_atom_site_label
_atom_site_fract_x
_atom_site_fract_y
_atom_site_fract_z
Ti1 0.213 0.787 0.000
Ti2 0.787 0.213 0.000
Al1 0.000 0.500 0.500
Al2 0.298 0.298 0.000
Al3 0.500 0.000 0.500
Al4 0.702 0.702 0.000
Cu1 0.000 0.000 0.500

[2]
# PBE LiCu7Ge2, optimized geometry
# Total magnetization   0.00 μB/f.u.
# Calculated formation energy   0.23 eV/atom
# ρ   6.0 g/cm3
data_LiCu7Ge2
_chemical_formula_sum 'Li1 Cu7 Ge2'
_symmetry_space_group_name_H-M 'P 1'
_symmetry_Int_Tables_number 1
_symmetry_space_group_name_Hall 'P 1'
_cell_length_a 6.783
_cell_length_b 6.783
_cell_length_c 4.182
_cell_angle_alpha 90.00
_cell_angle_beta 90.00
_cell_angle_gamma 120.75
loop_
_atom_site_label
_atom_site_fract_x
_atom_site_fract_y
_atom_site_fract_z
Li1 0.000 0.000 0.000
Cu1 0.071 0.286 0.500
Cu2 0.206 0.794 0.000
Cu3 0.286 0.071 0.500
Cu4 0.500 0.500 0.500
Cu5 0.714 0.929 0.500
Cu6 0.794 0.206 0.000
Cu7 0.929 0.714 0.500
Ge1 0.300 0.700 0.500
Ge2 0.700 0.300 0.500

[3]
# PBE Na4U3RhN8, optimized geometry
# Total magnetization   0.00 μB/f.u.
# Energy relative to the elements, uncorrected   -0.77 eV per atom
# ρ   7.5 g/cm3
data_Na4U3RhN8
_chemical_formula_sum 'Na4 U3 Rh1 N8'
_symmetry_space_group_name_H-M 'P 1'
_symmetry_Int_Tables_number 1
_symmetry_space_group_name_Hall 'P 1'
_cell_length_a 6.886
_cell_length_b 6.886
_cell_length_c 6.886
_cell_angle_alpha 59.17
_cell_angle_beta 59.17
_cell_angle_gamma 59.17
loop_
_atom_site_label
_atom_site_fract_x
_atom_site_fract_y
_atom_site_fract_z
Na1 0.000 0.000 0.000
Na2 0.000 0.500 0.500
Na3 0.500 0.000 0.500
Na4 0.500 0.500 0.000
U1 0.000 0.000 0.500
U2 0.000 0.500 0.000
U3 0.500 0.000 0.000
Rh1 0.500 0.500 0.500
N1 0.212 0.738 0.738
N2 0.229 0.229 0.229
N3 0.262 0.262 0.788
N4 0.262 0.788 0.262
N5 0.738 0.212 0.738
N6 0.738 0.738 0.212
N7 0.771 0.771 0.771
N8 0.788 0.262 0.262

[4]
# PBE Ba3ErZr2O9, optimized geometry
# Total magnetization   0.64 μB/f.u.
# Energy relative to the elements, uncorrected   -3.07 eV per atom
# ρ   6.3 g/cm3
data_Ba3ErZr2O9
_chemical_formula_sum 'Ba3 Er1 Zr2 O9'
_symmetry_space_group_name_H-M 'P 1'
_symmetry_Int_Tables_number 1
_symmetry_space_group_name_Hall 'P 1'
_cell_length_a 6.096
_cell_length_b 6.096
_cell_length_c 7.473
_cell_angle_alpha 90.00
_cell_angle_beta 90.00
_cell_angle_gamma 120.00
loop_
_atom_site_label
_atom_site_fract_x
_atom_site_fract_y
_atom_site_fract_z
Ba1 0.000 0.000 0.000
Ba2 0.333 0.667 0.666
Ba3 0.667 0.333 0.334
Er1 0.000 0.000 0.500
Zr1 0.333 0.667 0.166
Zr2 0.667 0.333 0.834
O1 0.000 0.500 0.000
O2 0.171 0.342 0.326
O3 0.171 0.829 0.326
O4 0.342 0.171 0.674
O5 0.500 0.000 0.000
O6 0.500 0.500 0.000
O7 0.658 0.829 0.326
O8 0.829 0.171 0.674
O9 0.829 0.658 0.674

[5]
# PBE AlGa2F8, optimized geometry
# Total magnetization   0.96 μB/f.u.
# Energy relative to the elements, uncorrected   -2.71 eV per atom
# ρ   3.8 g/cm3
data_AlGa2F8
_chemical_formula_sum 'Al1 Ga2 F8'
_symmetry_space_group_name_H-M 'P 1'
_symmetry_Int_Tables_number 1
_symmetry_space_group_name_Hall 'P 1'
_cell_length_a 5.296
_cell_length_b 5.296
_cell_length_c 5.090
_cell_angle_alpha 91.99
_cell_angle_beta 91.99
_cell_angle_gamma 75.49
loop_
_atom_site_label
_atom_site_fract_x
_atom_site_fract_y
_atom_site_fract_z
Al1 0.000 0.000 0.000
Ga1 0.414 0.414 0.757
Ga2 0.586 0.586 0.243
F1 0.122 0.724 0.776
F2 0.192 0.192 0.835
F3 0.276 0.878 0.224
F4 0.366 0.366 0.389
F5 0.634 0.634 0.611
F6 0.724 0.122 0.776
F7 0.808 0.808 0.165
F8 0.878 0.276 0.224

[6]
# PBE YTeN2F, optimized geometry
# Total magnetization   3.23 μB/f.u.
# Energy relative to the elements, uncorrected   0.70 eV per atom
# Energy above the lowest structure with this stoichiometry   0.834 eV/atom
# ρ   3.6 g/cm3
data_YTeN2F
_chemical_formula_sum 'Y1 Te1 N2 F1'
_symmetry_space_group_name_H-M 'P 1'
_symmetry_Int_Tables_number 1
_symmetry_space_group_name_Hall 'P 1'
_cell_length_a 4.422
_cell_length_b 4.422
_cell_length_c 6.299
_cell_angle_alpha 90.00
_cell_angle_beta 90.00
_cell_angle_gamma 90.00
loop_
_atom_site_label
_atom_site_fract_x
_atom_site_fract_y
_atom_site_fract_z
Y1 0.000 0.000 0.000
Te1 0.000 0.000 0.500
N1 0.000 0.500 0.000
N2 0.500 0.000 0.000
F1 0.500 0.500 0.500

[7]
# PBE Cu2Pd5Pt4, optimized geometry
# Total magnetization   0.00 μB/f.u.
# Energy above the lowest structure with this stoichiometry   0.000 eV/atom
# Calculated formation energy   0.09 eV/atom
# ρ   13.7 g/cm3
data_Cu2Pd5Pt4
_chemical_formula_sum 'Cu2 Pd5 Pt4'
_symmetry_space_group_name_H-M 'P 1'
_symmetry_Int_Tables_number 1
_symmetry_space_group_name_Hall 'P 1'
_cell_length_a 5.339
_cell_length_b 5.460
_cell_length_c 7.070
_cell_angle_alpha 93.68
_cell_angle_beta 100.86
_cell_angle_gamma 118.72
loop_
_atom_site_label
_atom_site_fract_x
_atom_site_fract_y
_atom_site_fract_z
Cu1 0.031 0.376 0.341
Cu2 0.969 0.624 0.659
Pd1 0.016 0.859 0.325
Pd2 0.473 0.645 0.650
Pd3 0.500 0.500 0.000
Pd4 0.527 0.355 0.350
Pd5 0.984 0.141 0.675
Pt1 0.219 0.944 0.992
Pt2 0.487 0.146 0.689
Pt3 0.513 0.854 0.311
Pt4 0.781 0.056 0.008

[8]
# PBE Ta4Mn5, optimized geometry
# Total magnetization   5.92 μB/f.u.
# Energy above the lowest structure with this stoichiometry   0.144 eV/atom
# Calculated formation energy   0.15 eV/atom
# ρ   12.7 g/cm3
data_Ta4Mn5
_chemical_formula_sum 'Ta8 Mn10'
_symmetry_space_group_name_H-M 'P 1'
_symmetry_Int_Tables_number 1
_symmetry_space_group_name_Hall 'P 1'
_cell_length_a 7.699
_cell_length_b 7.699
_cell_length_c 5.099
_cell_angle_alpha 90.00
_cell_angle_beta 90.00
_cell_angle_gamma 120.00
loop_
_atom_site_label
_atom_site_fract_x
_atom_site_fract_y
_atom_site_fract_z
Ta1 0.000 0.000 0.000
Ta2 0.000 0.000 0.500
Ta3 0.000 0.363 0.250
Ta4 0.000 0.637 0.750
Ta5 0.363 0.000 0.250
Ta6 0.363 0.363 0.750
Ta7 0.637 0.000 0.750
Ta8 0.637 0.637 0.250
Mn1 0.000 0.312 0.750
Mn2 0.000 0.688 0.250
Mn3 0.312 0.000 0.750
Mn4 0.312 0.312 0.250
Mn5 0.333 0.667 0.000
Mn6 0.333 0.667 0.500
Mn7 0.667 0.333 0.000
Mn8 0.667 0.333 0.500
Mn9 0.688 0.000 0.250
Mn10 0.688 0.688 0.750

[9]
# PBE LiInTc2, optimized geometry
# Total magnetization   0.00 μB/f.u.
# Calculated formation energy   0.50 eV/atom
# ρ   8.1 g/cm3
data_LiInTc2
_chemical_formula_sum 'Li1 In1 Tc2'
_symmetry_space_group_name_H-M 'P 1'
_symmetry_Int_Tables_number 1
_symmetry_space_group_name_Hall 'P 1'
_cell_length_a 2.734
_cell_length_b 2.734
_cell_length_c 9.184
_cell_angle_alpha 90.00
_cell_angle_beta 90.00
_cell_angle_gamma 109.37
loop_
_atom_site_label
_atom_site_fract_x
_atom_site_fract_y
_atom_site_fract_z
Li1 0.000 0.000 0.000
In1 0.000 0.000 0.500
Tc1 0.500 0.500 0.246
Tc2 0.500 0.500 0.754

[10]
# PBE PrTm3Th2P6, optimized geometry
# Total magnetization   0.00 μB/f.u.
# Calculated formation energy   -1.57 eV/atom
# ρ   7.6 g/cm3
data_PrTm3Th2P6
_chemical_formula_sum 'Pr1 Tm3 Th2 P6'
_symmetry_space_group_name_H-M 'P 1'
_symmetry_Int_Tables_number 1
_symmetry_space_group_name_Hall 'P 1'
_cell_length_a 9.057
_cell_length_b 9.057
_cell_length_c 8.092
_cell_angle_alpha 102.54
_cell_angle_beta 102.54
_cell_angle_gamma 25.95
loop_
_atom_site_label
_atom_site_fract_x
_atom_site_fract_y
_atom_site_fract_z
Pr1 0.000 0.000 0.000
Tm1 0.000 0.000 0.500
Tm2 0.335 0.335 0.167
Tm3 0.665 0.665 0.833
Th1 0.334 0.334 0.669
Th2 0.666 0.666 0.331
P1 0.165 0.165 0.589
P2 0.171 0.171 0.078
P3 0.498 0.498 0.260
P4 0.502 0.502 0.740
P5 0.829 0.829 0.922
P6 0.835 0.835 0.411

[11]
# PBE TaCuHg2, optimized geometry
# Total magnetization   0.00 μB/f.u.
# Calculated formation energy   0.44 eV/atom
# ρ   14.3 g/cm3
data_TaCuHg2
_chemical_formula_sum 'Ta1 Cu1 Hg2'
_symmetry_space_group_name_H-M 'P 1'
_symmetry_Int_Tables_number 1
_symmetry_space_group_name_Hall 'P 1'
_cell_length_a 4.857
_cell_length_b 4.857
_cell_length_c 5.477
_cell_angle_alpha 98.08
_cell_angle_beta 98.08
_cell_angle_gamma 36.04
loop_
_atom_site_label
_atom_site_fract_x
_atom_site_fract_y
_atom_site_fract_z
Ta1 0.000 0.000 0.000
Cu1 0.738 0.738 0.210
Hg1 0.247 0.247 0.753
Hg2 0.487 0.487 0.463

[12]
# PBE K2BaNaF, optimized geometry
# Total magnetization   0.00 μB/f.u.
# Energy relative to the elements, uncorrected   -1.02 eV per atom
# ρ   1.9 g/cm3
data_K2BaNaF
_chemical_formula_sum 'K2 Ba1 Na1 F1'
_symmetry_space_group_name_H-M 'P 1'
_symmetry_Int_Tables_number 1
_symmetry_space_group_name_Hall 'P 1'
_cell_length_a 6.575
_cell_length_b 6.575
_cell_length_c 5.215
_cell_angle_alpha 90.00
_cell_angle_beta 90.00
_cell_angle_gamma 90.00
loop_
_atom_site_label
_atom_site_fract_x
_atom_site_fract_y
_atom_site_fract_z
K1 0.000 0.500 0.000
K2 0.500 0.000 0.000
Ba1 0.000 0.000 0.500
Na1 0.500 0.500 0.500
F1 0.000 0.000 0.000